(1)
Below is a relaxed structure of Fe2Mo, with properties calculated at the PBE level.

Output
crystal system	orthorhombic
energy of formation	0.14	eV per atom

Cell lengths 5.852, 5.852, 3.651 Å; angles 90.00, 90.00, 143.35 degrees
Last column: magnetic moment on the atom in μB.
Element x y z (fractional)
Fe1 0.248 0.752 0.250  0.17
Mo1 0.903 0.097 0.250  -0.18
Fe2 0.411 0.589 0.750  1.66
Fe3 0.589 0.411 0.250  1.66
Mo2 0.097 0.903 0.750  -0.18
Fe4 0.752 0.248 0.750  0.17



(2)
Below is a relaxed structure of TbTm6Ni2, with properties calculated at the PBE level.

Output
crystal system	orthorhombic
energy of formation	-0.14	eV per atom

Cell lengths 8.435, 8.435, 8.435 Å; angles 106.01, 115.51, 107.07 degrees
Element x y z (fractional)
Tm1 0.699 0.309 0.008
Tm2 0.505 0.807 0.698
Tm3 0.779 0.003 0.224
Tm4 0.221 0.445 0.224
Tm5 0.301 0.309 0.610
Tb1 0.000 0.000 0.000
Tm6 0.110 0.807 0.302
Tm7 0.495 0.193 0.302
Ni1 0.500 0.881 0.381
Ni2 0.372 0.372 0.000
Tm8 0.301 0.691 0.992
Tb2 0.000 0.500 0.500
Tm9 0.699 0.691 0.390
Tm10 0.890 0.193 0.698
Tm11 0.779 0.555 0.776
Ni3 0.500 0.119 0.619
Tm12 0.221 0.997 0.776
Ni4 0.628 0.628 0.000



(3)
Below is a relaxed structure of BC3, with properties calculated at the PBE level.

Output
crystal system	monoclinic
energy of formation	0.27	eV per atom

Cell lengths 4.505, 4.505, 7.562 Å; angles 114.96, 114.96, 32.69 degrees
Element x y z (fractional)
C1 0.839 0.839 0.554
C2 0.497 0.497 0.390
C3 0.327 0.327 0.657
C4 0.001 0.001 0.009
B1 0.506 0.506 0.869
C5 0.997 0.997 0.503
C6 0.675 0.675 0.827
B2 0.658 0.658 0.334
C7 0.835 0.835 0.026
C8 0.173 0.173 0.709
B3 0.334 0.334 0.174
C9 0.158 0.158 0.198



(4)
Below is a relaxed structure of HgRh2Pb, with properties calculated at the PBE level.

Output
crystal system	tetragonal
energy of formation	0.36	eV per atom

Cell lengths 7.334, 7.334, 5.988 Å; angles 52.24, 52.24, 90.00 degrees
Element x y z (fractional)
Pb1 0.000 0.000 0.000
Pb2 0.750 0.250 0.500
Rh1 0.875 0.881 0.750
Rh2 0.375 0.369 0.750
Rh3 0.631 0.125 0.250
Rh4 0.119 0.625 0.250
Hg1 0.250 0.750 0.500
Hg2 0.500 0.500 0.000



(5)
Below is a relaxed structure of Li2PaCoH8, with properties calculated at the PBE level.

Output
uncorrected energy	-0.310	Ry per atom
crystal system	monoclinic

Cell lengths 4.247, 4.328, 5.879 Å; angles 58.92, 90.00, 90.00 degrees
Last column: magnetic moment on the atom in μB.
Element x y z (fractional)
Co1 0.000 0.000 0.000  0.34
Li1 0.500 0.706 0.220  0.00
Pa1 0.000 0.000 0.500  0.94
Li2 0.500 0.294 0.780  0.00
H1 0.000 0.643 0.298  0.00
H2 0.500 0.763 0.533  -0.01
H3 0.000 0.357 0.702  0.00
H4 0.251 0.162 0.105  0.00
H5 0.749 0.838 0.895  0.00
H6 0.251 0.838 0.895  0.00
H7 0.500 0.237 0.467  -0.01
H8 0.749 0.162 0.105  0.00



(6)
Below is a relaxed structure of Ga8CuRh2, with properties calculated at the PBE level.

Output
crystal system	monoclinic
energy of formation	-0.22	eV per atom

Cell lengths 5.018, 6.656, 6.656 Å; angles 61.66, 100.36, 100.36 degrees
Element x y z (fractional)
Ga1 0.378 0.814 0.381
Ga2 0.622 0.186 0.619
Ga3 0.378 0.381 0.814
Ga4 0.816 0.188 0.188
Ga5 0.622 0.619 0.186
Cu1 0.000 0.000 0.000
Ga6 0.858 0.588 0.588
Rh1 0.663 0.775 0.775
Ga7 0.142 0.412 0.412
Rh2 0.337 0.225 0.225
Ga8 0.184 0.812 0.812



Number 1: density of states at the Fermi level 1.078 states/eV/atom. Number 2: density of states at the Fermi level 1.471 states/eV/atom. Number 3: density of states at the Fermi level 0.063 states/eV/atom. Number 4: density of states at the Fermi level 0.352 states/eV/atom. Number 5: density of states at the Fermi level 0.425 states/eV/atom. Number 6: density of states at the Fermi level 0.276 states/eV/atom.